KLa2Ir, relaxed, DFT PBE; magnetic moment = 0.000 μB per formula unit; energy of formation = -0.087 eV/atom; space-group type = No. 8
1.0
6.6707 -0.0412 0.0228
5.4930 3.7850 0.0228
3.4311 1.0560 6.2678
K La Ir
1 2 1
Cartesian
3.1911 0.9822 1.6028 K
12.3603 3.8044 3.8949 La
3.3027 1.0165 5.6683 La
7.9690 2.4528 4.5718 Ir